No. 1
DFT (PBE) results for a relaxed structure of La2HgTe.

Cell: 12.830 12.830 4.779 Å, 90.00 90.00 160.47°
Atoms (fractional coordinates):
La 0.065 0.935 0.750
La 0.319 0.681 0.750
La 0.681 0.319 0.250
La 0.935 0.065 0.250
Hg 0.456 0.544 0.750
Hg 0.544 0.456 0.250
Te 0.192 0.808 0.750
Te 0.808 0.192 0.250

The total magnetic moment comes out at 0.000 μB/atom. For the density, the calculation gives 7.65 Mg/m³. Its distance to the lowest polymorph of the same formula is 0 meV per atom. The calculation puts the energy relative to the elements, uncorrected at -1.01 eV per atom.

No. 2
DFT (PBE) results for a relaxed structure of La3HgTe.

Cell: 5.957 5.957 5.957 Å, 90.00 90.00 90.00°
Atoms (fractional coordinates):
La 0.000 0.000 0.500
La 0.000 0.500 0.000
La 0.500 0.000 0.000
Hg 0.500 0.500 0.500
Te 0.000 0.000 0.000

The total magnetic moment comes out at 0.000 μB/atom. For the density, the calculation gives 5.85 Mg/m³. Its distance to the lowest polymorph of the same formula is 0 meV per atom. The calculation puts the energy relative to the elements, uncorrected at -0.24 eV per atom.

No. 3
DFT (PBE) results for a relaxed structure of La2HgTe2.

Cell: 8.753 8.753 4.215 Å, 90.00 90.00 90.00°
Atoms (fractional coordinates):
La 0.154 0.346 0.000
La 0.346 0.846 0.000
La 0.654 0.154 0.000
La 0.846 0.654 0.000
Hg 0.000 0.000 0.000
Hg 0.500 0.500 0.000
Te 0.147 0.647 0.500
Te 0.353 0.147 0.500
Te 0.647 0.853 0.500
Te 0.853 0.353 0.500

The total magnetic moment comes out at 0.000 μB/atom. For the density, the calculation gives 7.55 Mg/m³. Its distance to the lowest polymorph of the same formula is 0 meV per atom. The calculation puts the energy relative to the elements, uncorrected at -1.18 eV per atom.

No. 4
DFT (PBE) results for a relaxed structure of La6Hg5Te.

Cell: 9.646 9.646 9.646 Å, 146.72 132.67 59.08°
Atoms (fractional coordinates):
La 0.082 0.335 0.746
La 0.245 0.000 0.245
La 0.411 0.665 0.746
La 0.589 0.335 0.254
La 0.755 0.000 0.755
La 0.918 0.665 0.254
Hg 0.180 0.180 0.000
Hg 0.334 0.834 0.500
Hg 0.500 0.500 0.000
Hg 0.666 0.166 0.500
Hg 0.820 0.820 0.000
Te 0.000 0.500 0.500

The total magnetic moment comes out at 0.001 μB/atom. For the density, the calculation gives 9.08 Mg/m³. The calculation puts the energy relative to the elements, uncorrected at -0.64 eV per atom.

No. 5
DFT (PBE) results for a relaxed structure of La2HgTe.

Cell: 6.696 6.696 6.696 Å, 142.75 136.66 58.45°
Atoms (fractional coordinates):
La 0.000 0.000 0.000
La 0.740 0.240 0.500
Hg 0.469 0.469 0.000
Te 0.231 0.731 0.500

The total magnetic moment comes out at 0.000 μB/atom. For the density, the calculation gives 8.14 Mg/m³. Its distance to the lowest polymorph of the same formula is 215 meV per atom. The calculation puts the energy relative to the elements, uncorrected at -0.80 eV per atom.

No. 6
DFT (PBE) results for a relaxed structure of La2HgTe.

Cell: 4.040 4.051 7.368 Å, 90.00 90.00 90.00°
Atoms (fractional coordinates):
La 0.000 0.000 0.249
La 0.000 0.000 0.751
Hg 0.500 0.500 0.500
Te 0.500 0.500 0.000

The total magnetic moment comes out at 0.000 μB/atom. For the density, the calculation gives 8.34 Mg/m³. Its distance to the lowest polymorph of the same formula is 81 meV per atom. The calculation puts the energy relative to the elements, uncorrected at -0.93 eV per atom.

No. 7
DFT (PBE) results for a relaxed structure of LaHgTe3.

Cell: 6.223 6.223 6.223 Å, 90.00 90.00 90.00°
Atoms (fractional coordinates):
La 0.000 0.000 0.000
Hg 0.500 0.500 0.500
Te 0.000 0.000 0.500
Te 0.000 0.500 0.000
Te 0.500 0.000 0.000

The total magnetic moment comes out at 0.458 μB/atom. For the density, the calculation gives 4.98 Mg/m³. Its distance to the lowest polymorph of the same formula is 62 meV per atom. The calculation puts the energy relative to the elements, uncorrected at -0.18 eV per atom.

No. 8
DFT (PBE) results for a relaxed structure of La3Hg2Te.

Cell: 8.817 8.817 3.937 Å, 90.00 90.00 143.96°
Atoms (fractional coordinates):
La 0.000 0.000 0.000
La 0.339 0.661 0.000
La 0.661 0.339 0.000
Hg 0.180 0.820 0.500
Hg 0.820 0.180 0.500
Te 0.500 0.500 0.500

The total magnetic moment comes out at 0.000 μB/atom. For the density, the calculation gives 8.72 Mg/m³. The calculation puts the energy relative to the elements, uncorrected at -0.80 eV per atom.

Which formula does entry 3 have? La2HgTe2

energy relative to the elements, uncorrected of number 6 (La2HgTe)? -0.93 eV per atom